Entry 1:
The following is a SCAN calculation of a PBEsol-optimized structure of AgSnSb2I, from Alexandria via LeMat-Bulk.

```
AgSnSb2I
1.0
5.274 0.000 0.000
0.000 5.274 0.000
0.000 0.000 5.522
Sb Ag I Sn
2 1 1 1
direct
0.500 0.000 0.000 Sb
0.000 0.500 0.000 Sb
0.000 0.000 0.000 Ag
0.000 0.000 0.500 I
0.500 0.500 0.500 Sn
```

Summary:
Crystal system   tetragonal
Energy   -35.10 eV/atom
Energy relative to the elements, uncorrected   3.1 eV per formula unit
Symmetry   P4/mmm


Entry 2:
The following is a SCAN calculation of a PBEsol-optimized structure of TiAgSb2I, from Alexandria via LeMat-Bulk.

```
TiAgSb2I
1.0
-0.102 -1.368 5.029
4.133 -3.086 -0.756
3.362 4.205 1.212
Sb Ag Ti I
2 1 1 1
direct
0.000 0.500 0.000 Sb
0.500 0.000 0.000 Sb
0.000 0.000 0.000 Ag
0.500 0.500 0.500 Ti
0.000 0.000 0.500 I
```

Summary:
Crystal system   tetragonal
Energy   -30.97 eV/atom
Energy relative to the elements, uncorrected   3.8 eV per formula unit
Symmetry   P4/mmm


- Look up the energy relative to the elements, uncorrected of the first one.
  3.1 eV per formula unit


- Number 1 is which compound?
  AgSnSb2I


- Among the records above, which one has the highest energy relative to the elements, uncorrected?
  TiAgSb2I